1.
## SbRuRh2 (PBE)

Data for a geometry-optimized SbRuRh2 structure.

abc: 4.762 4.762 2.922
angles: 90.00 90.00 109.35
Atoms (fractional coordinates):
Sb: 0.000 0.000 0.000
Ru: 0.500 0.500 0.000
Rh: 0.000 0.500 0.500
Rh: 0.500 0.000 0.500

2.
## SbRu2Rh (PBE)

Data for a geometry-optimized SbRu2Rh structure.

abc: 4.476 4.476 4.476
angles: 60.00 60.00 60.00
Atoms (fractional coordinates):
Sb: 0.000 0.000 0.000
Ru: 0.250 0.250 0.250
Ru: 0.500 0.500 0.500
Rh: 0.750 0.750 0.750

3.
## Sb3RuRh (PBE)

Data for a geometry-optimized Sb3RuRh structure.

abc: 5.038 5.038 5.038
angles: 90.00 90.00 90.00
Atoms (fractional coordinates):
Sb: 0.000 0.000 0.500
Sb: 0.000 0.500 0.000
Sb: 0.500 0.000 0.000
Ru: 0.500 0.500 0.500
Rh: 0.000 0.000 0.000

Properties
**Relative energy among the computed polymorphs**: 155 meV/atom

no.,E_form (uncorrected) (eV per atom)
1,0.013
2,0.239
3,0.878